(1)
LiHfSbI2: single point on PBEsol structure, SCAN.

## Properties
E above lowest polymorph	0.0	kJ/mol of atoms
uncorrected formation energy	-0.223	eV per atom
calculated total energy	-35.38	eV per atom

Cell lengths 5.6333, 5.6333, 5.5716 Å; angles 90.00, 90.00, 90.00 degrees
Element x y z (fractional)
Li: 0.0000 0.0000 0.0000
Hf: 0.5000 0.5000 0.5000
Sb: 0.5000 0.5000 0.0000
I: 0.0000 0.5000 0.5000
I: 0.5000 0.0000 0.5000

(2)
LiHfSbI2: single point on PBEsol structure, SCAN.

## Properties
E above lowest polymorph	67.0	kJ/mol of atoms
uncorrected formation energy	0.471	eV per atom
calculated total energy	-34.69	eV per atom

Cell lengths 4.9144, 4.9144, 5.4249 Å; angles 90.00, 90.00, 90.00 degrees
Element x y z (fractional)
Li: 0.0000 0.0000 0.0000
Hf: 0.5000 0.5000 0.5000
Sb: 0.0000 0.0000 0.5000
I: 0.0000 0.5000 0.0000
I: 0.5000 0.0000 0.0000

(3)
HfMg3I: single point on PBEsol structure, SCAN.

## Properties
uncorrected formation energy	1.073	eV per atom
calculated total energy	-21.79	eV per atom

Cell lengths 5.7811, 5.7811, 5.7811 Å; angles 90.00, 90.00, 90.00 degrees
Element x y z (fractional)
Hf: 0.0000 0.0000 0.0000
Mg: 0.0000 0.0000 0.5000
Mg: 0.0000 0.5000 0.0000
Mg: 0.5000 0.0000 0.0000
I: 0.5000 0.5000 0.5000

(4)
HfMgIN2: single point on PBEsol structure, SCAN.

## Properties
uncorrected formation energy	0.019	eV per atom
calculated total energy	-24.58	eV per atom

Cell lengths 4.1501, 4.1501, 5.7527 Å; angles 90.00, 90.00, 90.00 degrees
Element x y z (fractional)
Hf: 0.0000 0.0000 0.0000
Mg: 0.5000 0.5000 0.5000
I: 0.0000 0.0000 0.5000
N: 0.0000 0.5000 0.0000
N: 0.5000 0.0000 0.0000

(5)
HfMgPI2: single point on PBEsol structure, SCAN.

## Properties
uncorrected formation energy	0.619	eV per atom
calculated total energy	-29.69	eV per atom

Cell lengths 5.3152, 5.3152, 4.8325 Å; angles 90.00, 90.00, 90.00 degrees
Element x y z (fractional)
Hf: 0.0000 0.0000 0.0000
Mg: 0.5000 0.5000 0.5000
P: 0.5000 0.5000 0.0000
I: 0.0000 0.5000 0.5000
I: 0.5000 0.0000 0.5000

(6)
HfMgSbI2: single point on PBEsol structure, SCAN.

## Properties
uncorrected formation energy	0.547	eV per atom
calculated total energy	-35.13	eV per atom

Cell lengths 5.2704, 5.2704, 5.6008 Å; angles 90.00, 90.00, 90.00 degrees
Element x y z (fractional)
Hf: 0.0000 0.0000 0.0000
Mg: 0.5000 0.5000 0.5000
Sb: 0.5000 0.5000 0.0000
I: 0.0000 0.5000 0.5000
I: 0.5000 0.0000 0.5000

(7)
HfMnI3: single point on PBEsol structure, SCAN.

## Properties
E above lowest polymorph	0.0	kJ/mol of atoms
uncorrected formation energy	0.088	eV per atom
calculated total energy	-38.14	eV per atom

Cell lengths 5.5792, 5.5792, 5.5792 Å; angles 90.00, 90.00, 90.00 degrees
Element x y z (fractional)
Hf: 0.0000 0.0000 0.0000
Mn: 0.5000 0.5000 0.5000
I: 0.0000 0.0000 0.5000
I: 0.0000 0.5000 0.0000
I: 0.5000 0.0000 0.0000

(8)
HfMn3I: single point on PBEsol structure, SCAN.

## Properties
uncorrected formation energy	1.189	eV per atom
calculated total energy	-29.65	eV per atom

Cell lengths 4.6026, 4.6026, 4.6026 Å; angles 90.00, 90.00, 90.00 degrees
Element x y z (fractional)
Hf: 0.0000 0.0000 0.0000
Mn: 0.0000 0.5000 0.5000
Mn: 0.5000 0.0000 0.5000
Mn: 0.5000 0.5000 0.0000
I: 0.5000 0.5000 0.5000

What did the fourth record say?
HfMgIN2: single point on PBEsol structure, SCAN.

## Properties
uncorrected formation energy	0.019	eV per atom
calculated total energy	-24.58	eV per atom

Cell lengths 4.1501, 4.1501, 5.7527 Å; angles 90.00, 90.00, 90.00 degrees
Element x y z (fractional)
Hf: 0.0000 0.0000 0.0000
Mg: 0.5000 0.5000 0.5000
I: 0.0000 0.0000 0.5000
N: 0.0000 0.5000 0.0000
N: 0.5000 0.0000 0.0000